Entry 1:
The following is a DFT calculation (PBE) of an optimized crystal structure of LaAgI4. Values from VASP.

Computed properties:
Energy above the lowest structure with this stoichiometry in eV per atom: 0.000
Space-group type: C2/m (12)
M_tot in μB/atom: 0.000
Formation energy (no corrections) in eV/atom: -1.054
Theoretical density in g cm⁻³: 4.6
Calculated volume in Å³ per cell: 542

Geometry as Quantum ESPRESSO input:
```
&SYSTEM
  ibrav = 0, nat = 12, ntyp = 3
/
ATOMIC_SPECIES
I 126.90 I.upf
Ag 107.87 Ag.upf
La 138.91 La.upf
ATOMIC_POSITIONS crystal
I 0.500 0.154 0.374
I 0.499 0.841 0.107
Ag 0.000 0.000 0.000
I 0.001 0.341 0.607
La 0.000 0.000 0.500
I 0.000 0.346 0.126
I 0.501 0.159 0.893
I 0.000 0.654 0.874
Ag 0.500 0.500 0.500
I 0.500 0.846 0.626
La 0.500 0.500 0.000
I 0.999 0.659 0.393
CELL_PARAMETERS angstrom
4.538 0.000 0.000
0.000 7.728 0.133
0.000 0.129 15.458
```

---

Entry 2:
The following is a DFT calculation (PBE) of an optimized crystal structure of LaPbAu. Values from VASP.

Computed properties:
Formation enthalpy at 0 K in eV per formula unit: -2.0
Space-group type: P2_1/m (11)
M_tot in μB/atom: 0.000
Theoretical density in g cm⁻³: 10.8
Calculated volume in Å³ per cell: 167

Geometry as Quantum ESPRESSO input:
```
&SYSTEM
  ibrav = 0, nat = 6, ntyp = 3
/
ATOMIC_SPECIES
Pb 207.20 Pb.upf
La 138.91 La.upf
Au 196.97 Au.upf
ATOMIC_POSITIONS crystal
Pb 0.584 0.403 0.657
La 0.520 0.920 0.157
Au 0.254 0.089 0.657
Au 0.257 0.541 0.157
Pb 0.926 0.227 0.157
La 0.990 0.709 0.657
CELL_PARAMETERS angstrom
6.971 0.064 0.000
1.617 4.764 0.000
0.000 0.000 5.052
```

---

Entry 3:
The following is a DFT calculation (PBE) of an optimized crystal structure of Al3Sb. Values from VASP.

Computed properties:
Space-group type: Fm-3m (225)
M_tot in μB/atom: 0.000
Formation energy (no corrections) in eV/atom: 0.234
Theoretical density in g cm⁻³: 4.2
Calculated volume in Å³ per cell: 80

Geometry as Quantum ESPRESSO input:
```
&SYSTEM
  ibrav = 0, nat = 4, ntyp = 2
/
ATOMIC_SPECIES
Al 26.98 Al.upf
Sb 121.76 Sb.upf
ATOMIC_POSITIONS crystal
Al 0.000 0.000 0.000
Al 0.250 0.250 0.250
Sb 0.750 0.750 0.750
Al 0.500 0.500 0.500
CELL_PARAMETERS angstrom
-3.816 -2.037 2.186
-1.284 -4.542 -1.101
0.668 -3.556 3.225
```

---

Entry 4:
The following is a DFT calculation (PBE) of an optimized crystal structure of CeSmTm6. Values from VASP.

Computed properties:
Formation enthalpy at 0 K in eV per formula unit: 0.4
Space-group type: C2/m (12)
M_tot in μB/atom: 0.153
Theoretical density in g cm⁻³: 8.8
Calculated volume in Å³ per cell: 245

Geometry as Quantum ESPRESSO input:
```
&SYSTEM
  ibrav = 0, nat = 8, ntyp = 3
/
ATOMIC_SPECIES
Sm 150.36 Sm.upf
Tm 168.93 Tm.upf
Ce 140.12 Ce.upf
ATOMIC_POSITIONS crystal
Sm 0.000 0.500 0.500
Tm 0.251 0.374 0.123
Ce 0.000 0.000 0.000
Tm 0.499 0.753 0.248
Tm 0.751 0.125 0.373
Tm 0.501 0.247 0.752
Tm 0.749 0.626 0.877
Tm 0.249 0.875 0.627
CELL_PARAMETERS angstrom
-0.364 4.953 0.462
-2.551 1.840 5.186
7.374 2.584 5.018
```

---

Entry 5:
The following is a DFT calculation (PBE) of an optimized crystal structure of CsSmCuTe2. Values from VASP.

Computed properties:
Space-group type: P2/c (13)
M_tot in μB/atom: 0.000
Formation energy (no corrections) in eV/atom: -0.786
Theoretical density in g cm⁻³: 5.2
Calculated volume in Å³ per cell: 384

Geometry as Quantum ESPRESSO input:
```
&SYSTEM
  ibrav = 0, nat = 10, ntyp = 4
/
ATOMIC_SPECIES
Te 127.60 Te.upf
Cs 132.91 Cs.upf
Cu 63.55 Cu.upf
Sm 150.36 Sm.upf
ATOMIC_POSITIONS crystal
Te 0.302 0.221 0.032
Te 0.302 0.779 0.468
Te 0.698 0.221 0.532
Cs 0.804 0.500 0.250
Cu 0.000 0.000 0.500
Te 0.698 0.779 0.968
Sm 0.495 0.000 0.250
Cu 0.000 0.000 0.000
Sm 0.505 0.000 0.750
Cs 0.196 0.500 0.750
CELL_PARAMETERS angstrom
4.803 0.000 0.000
0.000 9.278 0.851
0.000 -2.016 8.433
```

---

Entry 6:
The following is a DFT calculation (PBE) of an optimized crystal structure of NaIn5Br4Cl2. Values from VASP.

Computed properties:
Space-group type: Amm2 (38)
M_tot in μB/atom: 0.000
Formation energy (no corrections) in eV/atom: -0.802
Theoretical density in g cm⁻³: 3.8
Calculated volume in Å³ per cell: 436

Geometry as Quantum ESPRESSO input:
```
&SYSTEM
  ibrav = 0, nat = 12, ntyp = 4
/
ATOMIC_SPECIES
Br 79.90 Br.upf
Na 22.99 Na.upf
In 114.82 In.upf
Cl 35.45 Cl.upf
ATOMIC_POSITIONS crystal
Br 0.578 0.000 0.730
Na 0.384 0.000 0.000
In 0.752 0.695 0.745
Br 0.578 0.000 0.270
In 0.752 0.695 0.255
In 0.058 0.305 0.255
Br 0.448 0.423 0.000
In 0.058 0.305 0.745
Cl 0.477 0.480 0.500
In 0.297 0.000 0.500
Br 0.026 0.577 0.000
Cl 0.997 0.520 0.500
CELL_PARAMETERS angstrom
-2.712 -5.317 -5.258
7.280 0.601 1.654
-0.964 -5.783 6.344
```

---

Entry 7:
The following is a DFT calculation (PBE) of an optimized crystal structure of NiPPb3. Values from VASP.

Computed properties:
Formation enthalpy at 0 K in eV per formula unit: 1.6
Energy above the lowest structure with this stoichiometry in eV per atom: 0.000
Space-group type: Pm-3m (221)
M_tot in μB/atom: 0.000
Theoretical density in g cm⁻³: 9.0
Calculated volume in Å³ per cell: 132

Geometry as Quantum ESPRESSO input:
```
&SYSTEM
  ibrav = 0, nat = 5, ntyp = 3
/
ATOMIC_SPECIES
Pb 207.20 Pb.upf
Ni 58.69 Ni.upf
P 30.97 P.upf
ATOMIC_POSITIONS crystal
Pb 0.500 0.000 0.000
Ni 0.000 0.000 0.000
Pb 0.000 0.000 0.500
Pb 0.000 0.500 0.000
P 0.500 0.500 0.500
CELL_PARAMETERS angstrom
5.088 0.000 0.000
0.000 5.088 0.000
0.000 0.000 5.088
```

---

Entry 8:
The following is a DFT calculation (PBE) of an optimized crystal structure of Pr3PaPt3. Values from VASP.

Computed properties:
Formation enthalpy at 0 K in eV per formula unit: -5.2
Space-group type: Cmce (64)
M_tot in μB/atom: 0.000
Theoretical density in g cm⁻³: 10.3
Calculated volume in Å³ per cell: 796

Geometry as Quantum ESPRESSO input:
```
&SYSTEM
  ibrav = 0, nat = 28, ntyp = 3
/
ATOMIC_SPECIES
Pt 195.08 Pt.upf
Pr 140.91 Pr.upf
Pa 231.04 Pa.upf
ATOMIC_POSITIONS crystal
Pt 0.073 0.674 0.616
Pr 0.359 0.000 0.184
Pt 0.250 0.000 0.430
Pr 0.641 0.000 0.816
Pt 0.101 0.674 0.116
Pr 0.859 0.000 0.316
Pr 0.692 0.650 0.639
Pt 0.427 0.326 0.116
Pa 0.103 0.207 0.000
Pt 0.399 0.326 0.616
Pr 0.192 0.650 0.861
Pr 0.457 0.650 0.139
Pa 0.897 0.793 0.000
Pa 0.603 0.207 0.500
Pt 0.899 0.326 0.884
Pt 0.750 0.000 0.070
Pr 0.808 0.350 0.139
Pr 0.543 0.350 0.861
Pr 0.957 0.650 0.361
Pa 0.397 0.793 0.500
Pt 0.250 0.000 0.930
Pt 0.601 0.674 0.384
Pr 0.043 0.350 0.639
Pt 0.573 0.674 0.884
Pt 0.750 0.000 0.570
Pr 0.141 0.000 0.684
Pt 0.927 0.326 0.384
Pr 0.308 0.350 0.361
CELL_PARAMETERS angstrom
-4.698 1.431 -6.362
-4.532 -3.249 7.692
-1.606 10.803 3.617
```